Entry 1:
! NbTcSn2 (PBE, relaxed); values from VASP
! - Formation enthalpy at 0 K: 0.488 eV/atom
! - Offset from the most stable computed form: 281.7 meV per atom
&SYSTEM
  ibrav = 0, nat = 8, ntyp = 3
/
ATOMIC_SPECIES
Nb 92.91 Nb.upf
Tc 98.00 Tc.upf
Sn 118.71 Sn.upf
CELL_PARAMETERS angstrom
-2.0383 2.0383 9.9909
2.0383 -2.0383 9.9909
2.0383 2.0383 -9.9909
ATOMIC_POSITIONS angstrom
Nb 0.0000 0.0000 0.0000
Nb 0.0000 2.0383 4.9954
Tc 2.0383 0.0000 4.9954
Tc 0.0000 0.0000 9.9909
Sn 1.0191 -1.0025 7.4931
Sn 1.0357 1.0191 2.4977
Sn 1.0191 3.0408 -2.4977
Sn 1.0025 1.0191 12.4886

Entry 2:
! Nb3TcSn (PBE, relaxed); values from VASP
! - Formation enthalpy at 0 K: 0.807 eV/atom
! - Offset from the most stable computed form: 0.0 meV per atom
&SYSTEM
  ibrav = 0, nat = 5, ntyp = 3
/
ATOMIC_SPECIES
Nb 92.91 Nb.upf
Tc 98.00 Tc.upf
Sn 118.71 Sn.upf
CELL_PARAMETERS angstrom
4.8240 0.0000 0.0000
0.0000 4.8240 0.0000
0.0000 0.0000 4.8240
ATOMIC_POSITIONS angstrom
Nb 0.0000 0.0000 2.4120
Nb 0.0000 2.4120 0.0000
Nb 2.4120 0.0000 0.0000
Tc 0.0000 0.0000 0.0000
Sn 2.4120 2.4120 2.4120

Entry 3:
! NbTcSn3 (PBE, relaxed); values from VASP
! - Formation enthalpy at 0 K: 0.905 eV/atom
! - Offset from the most stable computed form: 0.0 meV per atom
&SYSTEM
  ibrav = 0, nat = 5, ntyp = 3
/
ATOMIC_SPECIES
Nb 92.91 Nb.upf
Tc 98.00 Tc.upf
Sn 118.71 Sn.upf
CELL_PARAMETERS angstrom
5.1355 0.0000 0.0000
0.0000 5.1355 0.0000
0.0000 0.0000 5.1355
ATOMIC_POSITIONS angstrom
Nb 0.0000 0.0000 0.0000
Tc 2.5677 2.5677 2.5677
Sn 0.0000 2.5677 2.5677
Sn 2.5677 0.0000 2.5677
Sn 2.5677 2.5677 0.0000

Entry 4:
! NbV2TcSn (PBE, relaxed); values from VASP
! - Formation enthalpy at 0 K: 1.584 eV/atom
&SYSTEM
  ibrav = 0, nat = 5, ntyp = 4
/
ATOMIC_SPECIES
Nb 92.91 Nb.upf
V 50.94 V.upf
Tc 98.00 Tc.upf
Sn 118.71 Sn.upf
CELL_PARAMETERS angstrom
4.5442 0.0000 0.0000
0.0000 4.5442 0.0000
0.0000 0.0000 5.2272
ATOMIC_POSITIONS angstrom
Nb 0.0000 0.0000 0.0000
V 0.0000 2.2721 0.0000
V 2.2721 0.0000 0.0000
Tc 2.2721 2.2721 2.6136
Sn 0.0000 0.0000 2.6136

Entry 5:
! NbVTcSn (PBE, relaxed); values from VASP
! - Formation enthalpy at 0 K: -0.119 eV/atom
&SYSTEM
  ibrav = 0, nat = 4, ntyp = 4
/
ATOMIC_SPECIES
Nb 92.91 Nb.upf
V 50.94 V.upf
Tc 98.00 Tc.upf
Sn 118.71 Sn.upf
CELL_PARAMETERS angstrom
0.0000 3.2275 3.2275
3.2275 0.0000 3.2275
3.2275 3.2275 0.0000
ATOMIC_POSITIONS angstrom
Nb 0.0000 0.0000 0.0000
V 1.6137 1.6137 1.6137
Tc 4.8412 4.8412 4.8412
Sn 3.2275 3.2275 3.2275

Entry 6:
! Y2NbTcSn (PBE, relaxed); values from VASP
! - Formation enthalpy at 0 K: 1.100 eV/atom
&SYSTEM
  ibrav = 0, nat = 5, ntyp = 4
/
ATOMIC_SPECIES
Y 88.91 Y.upf
Nb 92.91 Nb.upf
Tc 98.00 Tc.upf
Sn 118.71 Sn.upf
CELL_PARAMETERS angstrom
5.2620 0.0000 0.0000
0.0000 5.2620 0.0000
0.0000 0.0000 5.3283
ATOMIC_POSITIONS angstrom
Y 0.0000 2.6310 0.0000
Y 2.6310 0.0000 0.0000
Nb 0.0000 0.0000 0.0000
Tc 2.6310 2.6310 2.6642
Sn 0.0000 0.0000 2.6642

Entry 7:
! NbSnTe (PBE, relaxed); values from VASP
! - Formation energy without anion corrections: -0.09 eV/atom
&SYSTEM
  ibrav = 0, nat = 6, ntyp = 3
/
ATOMIC_SPECIES
Nb 92.91 Nb.upf
Sn 118.71 Sn.upf
Te 127.60 Te.upf
CELL_PARAMETERS angstrom
6.3544 -2.3207 0.0000
6.3544 2.3207 0.0000
-1.3016 0.0000 5.5425
ATOMIC_POSITIONS angstrom
Nb 2.1808 0.0000 2.0519
Nb 9.2264 0.0000 3.4906
Sn 1.1446 0.0000 4.7516
Sn 10.2626 0.0000 0.7909
Te 4.5165 0.0000 3.7094
Te 6.8907 0.0000 1.8331

Entry 8:
! Nb3SnTe (PBE, relaxed); values from VASP
! - Formation energy without anion corrections: -0.14 eV/atom
! - Offset from the most stable computed form: 0.0 meV per atom
&SYSTEM
  ibrav = 0, nat = 10, ntyp = 3
/
ATOMIC_SPECIES
Nb 92.91 Nb.upf
Sn 118.71 Sn.upf
Te 127.60 Te.upf
CELL_PARAMETERS angstrom
5.1417 -2.9711 0.0000
5.1417 2.9711 0.0000
-3.4193 0.0000 7.1019
ATOMIC_POSITIONS angstrom
Nb 2.5873 1.5245 2.3186
Nb -0.0413 0.0000 2.3207
Nb 4.2768 1.5245 4.7833
Nb 2.5873 -1.5245 2.3186
Nb 6.9054 0.0000 4.7813
Nb 4.2768 -1.5245 4.7833
Sn 1.7279 0.0000 4.8216
Sn 5.1362 0.0000 2.2804
Te 1.7096 0.0000 0.0182
Te 5.1545 0.0000 7.0838

Entry 9:
! NbSn3Te (PBE, relaxed); values from VASP
! - Formation energy without anion corrections: 1.48 eV/atom
! - Offset from the most stable computed form: 1066.2 meV per atom
&SYSTEM
  ibrav = 0, nat = 5, ntyp = 3
/
ATOMIC_SPECIES
Nb 92.91 Nb.upf
Sn 118.71 Sn.upf
Te 127.60 Te.upf
CELL_PARAMETERS angstrom
5.5732 0.0000 0.0000
0.0000 5.5732 0.0000
0.0000 0.0000 5.5732
ATOMIC_POSITIONS angstrom
Nb 0.0000 0.0000 0.0000
Sn 0.0000 2.7866 2.7866
Sn 2.7866 0.0000 2.7866
Sn 2.7866 2.7866 0.0000
Te 2.7866 2.7866 2.7866

Entry 10:
! NbSnTe (PBE, relaxed); values from VASP
! - Formation energy without anion corrections: -0.07 eV/atom
&SYSTEM
  ibrav = 0, nat = 12, ntyp = 3
/
ATOMIC_SPECIES
Nb 92.91 Nb.upf
Sn 118.71 Sn.upf
Te 127.60 Te.upf
CELL_PARAMETERS angstrom
10.6406 0.0000 0.0000
0.0000 4.7822 0.0000
0.0000 0.0000 5.7412
ATOMIC_POSITIONS angstrom
Nb 0.8221 1.1956 0.6592
Nb 4.4982 3.5867 3.5299
Nb 6.1424 1.1956 2.2114
Nb 9.8185 3.5867 5.0820
Sn 0.3085 1.1956 3.6253
Sn 5.0118 3.5867 0.7547
Sn 5.6288 1.1956 4.9866
Sn 10.3321 3.5867 2.1159
Te 2.1443 3.5867 5.3153
Te 3.1760 1.1956 2.4447
Te 7.4646 3.5867 3.2966
Te 8.4963 1.1956 0.4259

Entry 11:
! NbSnTe3 (PBE, relaxed); values from VASP
! - Formation energy without anion corrections: 1.00 eV/atom
! - Offset from the most stable computed form: 821.0 meV per atom
&SYSTEM
  ibrav = 0, nat = 5, ntyp = 3
/
ATOMIC_SPECIES
Nb 92.91 Nb.upf
Sn 118.71 Sn.upf
Te 127.60 Te.upf
CELL_PARAMETERS angstrom
5.5926 0.0000 0.0000
0.0000 5.5926 0.0000
0.0000 0.0000 5.5926
ATOMIC_POSITIONS angstrom
Nb 0.0000 0.0000 0.0000
Sn 2.7963 2.7963 2.7963
Te 0.0000 2.7963 2.7963
Te 2.7963 0.0000 2.7963
Te 2.7963 2.7963 0.0000

Entry 12:
! Nb3SnTe (PBE, relaxed); values from VASP
! - Formation energy without anion corrections: 1.54 eV/atom
! - Offset from the most stable computed form: 1675.5 meV per atom
&SYSTEM
  ibrav = 0, nat = 5, ntyp = 3
/
ATOMIC_SPECIES
Nb 92.91 Nb.upf
Sn 118.71 Sn.upf
Te 127.60 Te.upf
CELL_PARAMETERS angstrom
5.0911 0.0000 0.0000
0.0000 5.0911 0.0000
0.0000 0.0000 5.0911
ATOMIC_POSITIONS angstrom
Nb 0.0000 0.0000 2.5455
Nb 0.0000 2.5455 0.0000
Nb 2.5455 0.0000 0.0000
Sn 0.0000 0.0000 0.0000
Te 2.5455 2.5455 2.5455

Entry 13:
! Nb6SnTe8 (PBE, relaxed); values from VASP
! - Formation energy without anion corrections: -0.38 eV/atom
&SYSTEM
  ibrav = 0, nat = 15, ntyp = 3
/
ATOMIC_SPECIES
Nb 92.91 Nb.upf
Sn 118.71 Sn.upf
Te 127.60 Te.upf
CELL_PARAMETERS angstrom
10.7573 0.0000 0.0000
-5.3786 9.3161 0.0000
0.0000 0.0000 3.6515
ATOMIC_POSITIONS angstrom
Nb -1.5365 4.5468 0.9093
Nb -0.6728 8.3733 0.9093
Nb 3.1694 3.6040 2.7422
Nb 2.2093 5.7121 0.9093
Nb 6.0514 0.9428 2.7422
Nb 6.9151 4.7693 2.7422
Sn 0.0000 0.0000 0.0000
Te -3.2425 6.8130 0.9176
Te 1.0996 3.1014 0.9176
Te 3.2357 0.5984 2.7339
Te 0.0000 6.2107 2.7359
Te 5.3786 3.1054 0.9156
Te 2.1429 8.7177 0.9176
Te 4.2790 6.2146 2.7339
Te 8.6212 2.5030 2.7339